No. 1
Material: CuHgBiSe2
Method: DFT, GGA-PBE
State: optimized geometry

As for the density of states at the Fermi level: 6.31 states/eV/f.u. The value obtained for the uncorrected energy is -10.34 eV per formula unit.

Cell and atoms, written as POSCAR:
```
CuHgBiSe2
1.0
-3.701 2.392 -2.687
-2.850 -5.158 -0.667
-2.605 0.875 4.368
Cu Bi Se Hg
1 1 2 1
direct
0.500 0.500 0.500 Cu
0.000 0.500 0.000 Bi
0.000 0.000 0.500 Se
0.500 0.000 0.000 Se
0.000 0.000 0.000 Hg
```

No. 2
Material: LuZrTc4
Method: DFT, GGA-PBE
State: optimized geometry

For the calculated formation energy, the calculation gives -0.26 eV/atom. As for the density of states at the Fermi level: 10.37 states/eV/f.u. The value obtained for the uncorrected energy is -56.08 eV per formula unit.

Cell and atoms, written as POSCAR:
```
LuZrTc4
1.0
5.311 0.000 0.000
2.655 4.599 0.000
2.655 1.533 4.336
Lu Tc Zr
1 4 1
direct
0.000 0.000 0.000 Lu
0.625 0.625 0.126 Tc
0.625 0.126 0.625 Tc
0.625 0.625 0.625 Tc
0.126 0.625 0.625 Tc
0.250 0.250 0.250 Zr
```

No. 3
Material: NaCaLaTl
Method: DFT, GGA-PBE
State: optimized geometry

For the calculated formation energy, the calculation gives -0.19 eV/atom. As for the density of states at the Fermi level: 3.06 states/eV/f.u. The value obtained for the uncorrected energy is -11.37 eV per formula unit.

Cell and atoms, written as POSCAR:
```
NaCaLaTl
1.0
5.634 0.000 0.000
2.817 4.879 0.000
2.817 1.626 4.600
Na Tl Ca La
1 1 1 1
direct
0.000 0.000 0.000 Na
0.500 0.500 0.500 Tl
0.250 0.250 0.250 Ca
0.750 0.750 0.750 La
```

No. 4
Material: Tm4Hg3Pb2
Method: DFT, GGA-PBE
State: optimized geometry

For the calculated formation energy, the calculation gives -0.29 eV/atom. As for the density of states at the Fermi level: 8.04 states/eV/f.u. The value obtained for the uncorrected energy is -28.79 eV per formula unit.

Cell and atoms, written as POSCAR:
```
Tm4Hg3Pb2
1.0
7.068 0.000 0.000
0.000 8.858 0.000
-3.534 0.000 7.933
Tm Hg Pb
8 6 4
direct
0.712 0.750 0.924 Tm
0.788 0.250 0.076 Tm
0.288 0.250 0.076 Tm
0.212 0.750 0.924 Tm
0.185 0.969 0.369 Tm
0.815 0.031 0.631 Tm
0.315 0.469 0.631 Tm
0.685 0.531 0.369 Tm
0.000 0.000 0.000 Hg
0.500 0.500 0.000 Hg
0.524 0.750 0.548 Hg
0.976 0.250 0.452 Hg
0.476 0.250 0.452 Hg
0.024 0.750 0.548 Hg
0.112 0.574 0.225 Pb
0.888 0.426 0.775 Pb
0.388 0.074 0.775 Pb
0.612 0.926 0.225 Pb
```

No. 5
Material: Pm2ThOs2
Method: DFT, GGA-PBE
State: optimized geometry

For the calculated formation energy, the calculation gives -0.19 eV/atom. As for the density of states at the Fermi level: 4.89 states/eV/f.u. As for the excess energy over the best structure of this formula in the dataset: 0.0 meV/atom. The value obtained for the uncorrected energy is -40.31 eV per formula unit.

Cell and atoms, written as POSCAR:
```
Pm2ThOs2
1.0
4.025 0.005 1.714
1.274 5.323 2.587
-0.180 0.660 6.016
Pm Th Os
2 1 2
direct
0.304 0.197 0.697 Pm
0.696 0.803 0.303 Pm
0.500 0.500 0.000 Th
0.000 0.216 0.283 Os
0.000 0.784 0.717 Os
```

No. 6
Material: NiAs2H
Method: DFT, GGA-PBE
State: optimized geometry

As for the density of states at the Fermi level: 1.52 states/eV/f.u. As for the excess energy over the best structure of this formula in the dataset: 0.0 meV/atom. The value obtained for the uncorrected energy is -18.42 eV per formula unit.

Cell and atoms, written as POSCAR:
```
NiAs2H
1.0
-2.756 0.765 -2.331
0.524 -0.302 -3.640
-2.426 -5.272 -1.782
Ni As H
1 2 1
direct
0.500 0.500 0.500 Ni
0.105 0.105 0.686 As
0.895 0.895 0.314 As
0.000 0.000 0.000 H
```

No. 7
Material: Ba2CdP
Method: DFT, GGA-PBE
State: optimized geometry

For the calculated formation energy, the calculation gives -0.60 eV/atom. As for the density of states at the Fermi level: 3.06 states/eV/f.u. As for the excess energy over the best structure of this formula in the dataset: 38.9 meV/atom. The value obtained for the uncorrected energy is -12.58 eV per formula unit.

Cell and atoms, written as POSCAR:
```
Ba2CdP
1.0
6.650 -0.003 -0.002
4.908 4.487 -0.002
-0.001 0.000 4.709
Ba Cd P
2 1 1
direct
0.015 0.015 0.125 Ba
0.740 0.740 0.626 Ba
0.445 0.445 0.625 Cd
0.300 0.300 0.125 P
```

No. 8
Material: Ti4MnZn3
Method: DFT, GGA-PBE
State: optimized geometry

For the calculated formation energy, the calculation gives -0.23 eV/atom. As for the density of states at the Fermi level: 5.54 states/eV/f.u. The value obtained for the uncorrected energy is -46.39 eV per formula unit.

Cell and atoms, written as POSCAR:
```
Ti4MnZn3
1.0
3.050 0.000 0.000
0.000 3.050 0.000
0.000 0.000 12.872
Zn Mn Ti
3 1 4
direct
0.500 0.500 0.241 Zn
0.500 0.500 0.500 Zn
0.500 0.500 0.759 Zn
0.500 0.500 0.000 Mn
0.000 0.000 0.891 Ti
0.000 0.000 0.109 Ti
0.000 0.000 0.370 Ti
0.000 0.000 0.630 Ti
```

No. 9
Material: SrLiCd4Au2
Method: DFT, GGA-PBE
State: optimized geometry

For the calculated formation energy, the calculation gives -0.33 eV/atom. As for the density of states at the Fermi level: 2.38 states/eV/f.u. The value obtained for the uncorrected energy is -16.44 eV per formula unit.

Cell and atoms, written as POSCAR:
```
SrLiCd4Au2
1.0
4.821 0.000 0.000
2.410 4.175 0.000
2.410 1.392 8.934
Sr Li Cd Au
1 1 4 2
direct
0.000 0.000 0.000 Sr
0.500 0.500 0.500 Li
0.400 0.400 0.799 Cd
0.868 0.868 0.395 Cd
0.132 0.132 0.605 Cd
0.600 0.600 0.201 Cd
0.758 0.758 0.727 Au
0.242 0.242 0.273 Au
```

No. 10
Material: RbZrCdH2
Method: DFT, GGA-PBE
State: optimized geometry

As for the density of states at the Fermi level: 3.48 states/eV/f.u. The value obtained for the uncorrected energy is -13.53 eV per formula unit.

Cell and atoms, written as POSCAR:
```
RbZrCdH2
1.0
4.384 0.000 0.000
0.000 7.244 0.000
0.000 0.000 4.384
H Rb Zr Cd
2 1 1 1
direct
0.000 0.000 0.500 H
0.500 0.000 0.000 H
0.000 0.500 0.000 Rb
0.000 0.000 0.000 Zr
0.500 0.500 0.500 Cd
```

No. 11
Material: SnTeSe2
Method: DFT, GGA-PBE
State: optimized geometry

As for the density of states at the Fermi level: 2.91 states/eV/f.u. As for the excess energy over the best structure of this formula in the dataset: 213.3 meV/atom. The value obtained for the uncorrected energy is -13.62 eV per formula unit.

Cell and atoms, written as POSCAR:
```
SnTeSe2
1.0
-2.983 -1.029 -4.085
-3.805 3.238 -1.298
0.397 2.867 -4.274
Te Sn Se
1 1 2
direct
0.500 0.500 0.500 Te
0.000 0.000 0.000 Sn
0.250 0.250 0.250 Se
0.750 0.750 0.750 Se
```

No. 12
Material: MnTcB
Method: DFT, GGA-PBE
State: optimized geometry

For the calculated formation energy, the calculation gives -0.18 eV/atom. As for the density of states at the Fermi level: 2.17 states/eV/f.u. As for the excess energy over the best structure of this formula in the dataset: 102.0 meV/atom. The value obtained for the uncorrected energy is -26.76 eV per formula unit.

Cell and atoms, written as POSCAR:
```
MnTcB
1.0
3.038 0.000 0.000
0.000 3.045 0.000
0.000 -1.523 7.010
Mn Tc B
2 2 2
direct
0.750 0.702 0.404 Mn
0.250 0.298 0.596 Mn
0.750 0.912 0.824 Tc
0.250 0.088 0.176 Tc
0.750 0.537 0.073 B
0.250 0.463 0.927 B
```

No. 13
Material: MnCrCoAs
Method: DFT, GGA-PBE
State: optimized geometry

For the calculated formation energy, the calculation gives -0.06 eV/atom. As for the density of states at the Fermi level: 1.58 states/eV/f.u. The value obtained for the uncorrected energy is -30.80 eV per formula unit.

Cell and atoms, written as POSCAR:
```
MnCrCoAs
1.0
-3.978 0.745 -0.642
-2.653 -0.211 3.116
-1.707 3.422 1.473
Cr As Mn Co
1 1 1 1
direct
0.500 0.500 0.500 Cr
0.750 0.750 0.750 As
0.250 0.250 0.250 Mn
0.000 0.000 0.000 Co
```

No. 14
Material: NpPb2O3F3
Method: DFT, GGA-PBE
State: optimized geometry

As for the density of states at the Fermi level: 5.21 states/eV/f.u. The value obtained for the uncorrected energy is -61.47 eV per formula unit.

Cell and atoms, written as POSCAR:
```
NpPb2O3F3
1.0
-0.445 -1.356 -3.063
-4.017 -4.523 2.586
-2.441 5.710 -2.173
Np Pb O F
1 2 3 3
direct
0.000 0.000 0.000 Np
0.500 0.333 0.667 Pb
0.500 0.667 0.333 Pb
0.500 0.771 0.000 O
0.500 0.229 0.229 O
0.500 0.000 0.771 O
0.000 0.000 0.397 F
0.000 0.603 0.603 F
0.000 0.397 0.000 F
```

No. 15
Material: Li3Cd6Au
Method: DFT, GGA-PBE
State: optimized geometry

For the calculated formation energy, the calculation gives -0.23 eV/atom. As for the density of states at the Fermi level: 3.10 states/eV/f.u. As for the excess energy over the best structure of this formula in the dataset: 0.0 meV/atom. The value obtained for the uncorrected energy is -16.79 eV per formula unit.

Cell and atoms, written as POSCAR:
```
Li3Cd6Au
1.0
-2.250 3.024 3.137
-5.578 -5.659 1.453
7.874 -1.140 6.746
Li Cd Au
6 12 2
direct
0.750 0.810 0.375 Li
0.250 0.190 0.625 Li
0.750 0.412 0.768 Li
0.250 0.588 0.232 Li
0.750 0.204 0.973 Li
0.250 0.796 0.027 Li
0.750 0.599 0.070 Cd
0.250 0.401 0.930 Cd
0.750 0.991 0.162 Cd
0.250 0.009 0.838 Cd
0.750 0.015 0.670 Cd
0.250 0.985 0.330 Cd
0.750 0.215 0.480 Cd
0.250 0.785 0.520 Cd
0.750 0.421 0.277 Cd
0.250 0.579 0.723 Cd
0.750 0.799 0.864 Cd
0.250 0.201 0.136 Cd
0.750 0.612 0.569 Au
0.250 0.388 0.431 Au
```

No. 16
Material: Nd3Cu4Ag2
Method: DFT, GGA-PBE
State: optimized geometry

For the calculated formation energy, the calculation gives -0.21 eV/atom. As for the density of states at the Fermi level: 5.31 states/eV/f.u. The value obtained for the uncorrected energy is -38.26 eV per formula unit.

Cell and atoms, written as POSCAR:
```
Nd3Cu4Ag2
1.0
-2.290 2.611 -2.844
3.326 -3.923 -2.737
-7.271 -3.726 2.434
Nd Cu Ag
3 4 2
direct
0.659 0.317 0.675 Nd
0.000 0.000 0.000 Nd
0.341 0.683 0.325 Nd
0.729 0.459 0.049 Cu
0.271 0.541 0.951 Cu
0.939 0.879 0.599 Cu
0.061 0.121 0.401 Cu
0.624 0.248 0.285 Ag
0.376 0.752 0.715 Ag
```

No. 17
Material: BaNi2Cl
Method: DFT, GGA-PBE
State: optimized geometry

As for the density of states at the Fermi level: 5.53 states/eV/f.u. As for the excess energy over the best structure of this formula in the dataset: 78.7 meV/atom. The value obtained for the uncorrected energy is -16.16 eV per formula unit.

Cell and atoms, written as POSCAR:
```
BaNi2Cl
1.0
3.508 0.000 0.000
0.000 3.504 0.000
0.000 0.000 7.713
Ba Cl Ni
1 1 2
direct
0.000 0.000 0.489 Ba
0.500 0.500 0.720 Cl
0.000 0.000 0.119 Ni
0.500 0.500 0.172 Ni
```

No. 18
Material: MgZnP2
Method: DFT, GGA-PBE
State: optimized geometry

For the calculated formation energy, the calculation gives -0.08 eV/atom. As for the density of states at the Fermi level: 0.86 states/eV/f.u. As for the excess energy over the best structure of this formula in the dataset: 77.2 meV/atom. The value obtained for the uncorrected energy is -14.01 eV per formula unit.

Cell and atoms, written as POSCAR:
```
MgZnP2
1.0
3.673 0.000 0.000
0.000 4.151 -0.051
0.000 -0.213 5.235
Mg P Zn
1 2 1
direct
0.500 0.750 0.750 Mg
0.000 0.157 0.946 P
0.000 0.343 0.554 P
0.500 0.250 0.250 Zn
```

No. 19
Material: Ba2TaCuW
Method: DFT, GGA-PBE
State: optimized geometry

For the calculated formation energy, the calculation gives 1.33 eV/atom. As for the density of states at the Fermi level: 5.22 states/eV/f.u. The value obtained for the uncorrected energy is -26.11 eV per formula unit.

Cell and atoms, written as POSCAR:
```
Ba2TaCuW
1.0
6.226 0.000 0.000
0.000 4.841 0.000
0.000 0.000 6.226
Cu Ba W Ta
1 2 1 1
direct
0.500 0.500 0.500 Cu
0.000 0.000 0.500 Ba
0.500 0.000 0.000 Ba
0.000 0.000 0.000 W
0.000 0.500 0.000 Ta
```

No. 20
Material: Pr2SO
Method: DFT, GGA-PBE
State: optimized geometry

As for the density of states at the Fermi level: 1.44 states/eV/f.u. As for the excess energy over the best structure of this formula in the dataset: 190.1 meV/atom. The value obtained for the uncorrected energy is -27.10 eV per formula unit.

Cell and atoms, written as POSCAR:
```
Pr2SO
1.0
3.756 0.000 0.000
1.878 3.252 0.000
1.878 1.084 6.800
Pr S O
2 1 1
direct
0.087 0.087 0.738 Pr
0.247 0.247 0.258 Pr
0.667 0.667 0.998 S
0.498 0.498 0.507 O
```

No. 21
Material: Tm5AlRh4
Method: DFT, GGA-PBE
State: optimized geometry

For the calculated formation energy, the calculation gives -0.86 eV/atom. As for the density of states at the Fermi level: 5.37 states/eV/f.u. The value obtained for the uncorrected energy is -64.06 eV per formula unit.

Cell and atoms, written as POSCAR:
```
Tm5AlRh4
1.0
-1.976 -1.421 -2.398
-1.144 -2.268 2.287
-12.727 10.639 4.183
Tm Al Rh
5 1 4
direct
0.500 0.500 0.112 Tm
0.500 0.500 0.305 Tm
0.500 0.500 0.500 Tm
0.500 0.500 0.695 Tm
0.500 0.500 0.888 Tm
0.000 0.000 0.000 Al
0.000 0.000 0.206 Rh
0.000 0.000 0.403 Rh
0.000 0.000 0.597 Rh
0.000 0.000 0.794 Rh
```

No. 22
Material: Be2Co2Au
Method: DFT, GGA-PBE
State: optimized geometry

For the calculated formation energy, the calculation gives 0.06 eV/atom. As for the density of states at the Fermi level: 5.49 states/eV/f.u. As for the excess energy over the best structure of this formula in the dataset: 132.8 meV/atom. The value obtained for the uncorrected energy is -24.65 eV per formula unit.

Cell and atoms, written as POSCAR:
```
Be2Co2Au
1.0
6.622 0.000 0.000
0.000 6.622 0.000
0.000 0.000 2.573
Co Au Be
4 2 4
direct
0.381 0.881 0.000 Co
0.881 0.619 0.000 Co
0.619 0.119 0.000 Co
0.119 0.381 0.000 Co
0.000 0.000 0.000 Au
0.500 0.500 0.000 Au
0.173 0.673 0.500 Be
0.673 0.827 0.500 Be
0.827 0.327 0.500 Be
0.327 0.173 0.500 Be
```

No. 23
Material: TaBeAl
Method: DFT, GGA-PBE
State: optimized geometry

For the calculated formation energy, the calculation gives -0.04 eV/atom. As for the density of states at the Fermi level: 1.47 states/eV/f.u. As for the excess energy over the best structure of this formula in the dataset: 271.8 meV/atom. The value obtained for the uncorrected energy is -19.44 eV per formula unit.

Cell and atoms, written as POSCAR:
```
TaBeAl
1.0
-2.123 3.702 3.397
-0.060 0.806 5.394
2.794 -1.142 -4.543
Be Al Ta
1 1 1
direct
0.341 0.341 0.000 Be
0.982 0.982 0.000 Al
0.677 0.677 0.000 Ta
```

No. 24
Material: Sm4HoPb2
Method: DFT, GGA-PBE
State: optimized geometry

For the calculated formation energy, the calculation gives 0.36 eV/atom. As for the density of states at the Fermi level: 8.08 states/eV/f.u. The value obtained for the uncorrected energy is -28.37 eV per formula unit.

Cell and atoms, written as POSCAR:
```
Sm4HoPb2
1.0
5.468 0.000 0.000
0.000 5.468 0.000
-2.734 -2.734 8.395
Sm Ho Pb
4 1 2
direct
0.817 0.817 0.633 Sm
0.183 0.183 0.367 Sm
0.000 0.500 0.000 Sm
0.500 0.000 0.000 Sm
0.000 0.000 0.000 Ho
0.631 0.631 0.261 Pb
0.369 0.369 0.739 Pb
```

No. 25
Material: Li2NdZrSe4
Method: DFT, GGA-PBE
State: optimized geometry

As for the density of states at the Fermi level: 2.95 states/eV/f.u. The value obtained for the uncorrected energy is -42.76 eV per formula unit.

Cell and atoms, written as POSCAR:
```
Li2NdZrSe4
1.0
3.966 0.000 0.000
0.000 6.945 0.137
0.000 -2.409 6.513
Li Nd Zr Se
2 1 1 4
direct
0.500 0.000 0.500 Li
0.000 0.500 0.500 Li
0.000 0.000 0.000 Nd
0.500 0.500 0.000 Zr
0.500 0.273 0.262 Se
0.500 0.727 0.738 Se
0.000 0.266 0.748 Se
0.000 0.734 0.252 Se
```

No. 26
Material: TmVH3
Method: DFT, GGA-PBE
State: optimized geometry

As for the density of states at the Fermi level: 2.57 states/eV/f.u. The value obtained for the uncorrected energy is -25.27 eV per formula unit.

Cell and atoms, written as POSCAR:
```
TmVH3
1.0
-2.040 0.527 -2.888
1.735 -2.621 -1.703
-2.368 -2.373 1.240
H Tm V
3 1 1
direct
0.000 0.500 0.000 H
0.000 0.000 0.500 H
0.500 0.000 0.000 H
0.500 0.500 0.500 Tm
0.000 0.000 0.000 V
```